No. 1
## LiCeCdSn (PBE)

Data for a relaxed structure of LiCeCdSn.

Summary:
Its space group is F-43m, No. 216. The calculation puts the formation energy at -1.51 eV per formula unit.

abc: 7.3466 7.3466 7.3466
angles: 90.00 90.00 90.00
Last column: nearest neighbours and their distance in Å.
Element x y z (fractional)
Li: 0.0000 0.0000 0.0000  4 Cd 3.18, 4 Sn 3.18
Li: 0.0000 0.5000 0.5000  4 Sn 3.18, 4 Cd 3.18
Li: 0.5000 0.0000 0.5000  4 Sn 3.18, 4 Cd 3.18
Li: 0.5000 0.5000 0.0000  4 Sn 3.18, 4 Cd 3.18
Ce: 0.0000 0.0000 0.5000  4 Cd 3.18, 4 Sn 3.18
Ce: 0.0000 0.5000 0.0000  4 Cd 3.18, 4 Sn 3.18
Ce: 0.5000 0.0000 0.0000  4 Cd 3.18, 4 Sn 3.18
Ce: 0.5000 0.5000 0.5000  4 Cd 3.18, 4 Sn 3.18
Cd: 0.2500 0.2500 0.7500  4 Ce 3.18, 4 Li 3.18
Cd: 0.2500 0.7500 0.2500  4 Ce 3.18, 4 Li 3.18
Cd: 0.7500 0.2500 0.2500  4 Ce 3.18, 4 Li 3.18
Cd: 0.7500 0.7500 0.7500  4 Ce 3.18, 4 Li 3.18
Sn: 0.2500 0.2500 0.2500  4 Ce 3.18, 4 Li 3.18
Sn: 0.2500 0.7500 0.7500  4 Ce 3.18, 4 Li 3.18
Sn: 0.7500 0.2500 0.7500  4 Ce 3.18, 4 Li 3.18
Sn: 0.7500 0.7500 0.2500  4 Ce 3.18, 4 Li 3.18

=====

No. 2
## AcTmIrO6 (PBE)

Data for a relaxed structure of AcTmIrO6.

Summary:
Its space group is P312, No. 149. As for the uncorrected formation energy: -2.25 eV/atom.

abc: 5.5099 5.5099 5.3234
angles: 90.00 90.00 120.00
Last column: nearest neighbours and their distance in Å.
Element x y z (fractional)
Ac: 0.0000 0.0000 0.0000  6 O 2.53
Tm: 0.3333 0.6667 0.5000  6 O 2.22
Ir: 0.6667 0.3333 0.5000  6 O 1.96
O: 0.3809 0.0348 0.7108  1 Ir 1.96
O: 0.3809 0.3462 0.2892  1 Ir 1.96
O: 0.6538 0.0348 0.2892  1 Ir 1.96
O: 0.6538 0.6191 0.7108  1 Ir 1.96
O: 0.9652 0.3462 0.7108  1 Ir 1.96
O: 0.9652 0.6191 0.2892  1 Ir 1.96

=====

No. 3
## Cd2Hg2BiPb2 (PBE)

Data for a relaxed structure of Cd2Hg2BiPb2.

Summary:
Its space group is C2/m, No. 12. The calculation puts the formation energy at 0.44 eV per formula unit.

abc: 10.9666 4.2835 9.7471
angles: 90.00 116.93 90.00
Last column: nearest neighbours and their distance in Å.
Element x y z (fractional)
Cd: 0.1537 0.0000 0.3699  2 Hg 3.19, 2 Cd 3.26, 3 Bi 3.31-3.42, 2 Pb 3.31
Cd: 0.3463 0.5000 0.6301  2 Hg 3.19, 2 Cd 3.26, 3 Bi 3.31-3.42, 2 Pb 3.31
Cd: 0.6537 0.5000 0.3699  2 Hg 3.19, 2 Cd 3.26, 3 Bi 3.31-3.42, 2 Pb 3.31
Cd: 0.8463 0.0000 0.6301  2 Hg 3.19, 2 Cd 3.26, 3 Bi 3.31-3.42, 2 Pb 3.31
Hg: 0.0424 0.5000 0.8728  1 Hg 3.02, 2 Cd 3.19, 4 Pb 3.20-3.32
Hg: 0.4576 0.0000 0.1272  1 Hg 3.02, 2 Cd 3.19, 4 Pb 3.20-3.32
Hg: 0.5424 0.0000 0.8728  1 Hg 3.02, 2 Cd 3.19, 4 Pb 3.20-3.32
Hg: 0.9576 0.5000 0.1272  1 Hg 3.02, 2 Cd 3.19, 4 Pb 3.20-3.32
Bi: 0.0000 0.5000 0.5000  6 Cd 3.31-3.42, 4 Pb 3.44, 2 Hg 3.45
Bi: 0.5000 0.0000 0.5000  6 Cd 3.31-3.42, 4 Pb 3.44, 2 Hg 3.45
Pb: 0.2125 0.0000 0.7841  4 Hg 3.20-3.32, 2 Cd 3.31, 2 Bi 3.44
Pb: 0.2875 0.5000 0.2159  4 Hg 3.20-3.32, 2 Cd 3.31, 2 Bi 3.44
Pb: 0.7125 0.5000 0.7841  4 Hg 3.20-3.32, 2 Cd 3.31, 2 Bi 3.44
Pb: 0.7875 0.0000 0.2159  4 Hg 3.20-3.32, 2 Cd 3.31, 2 Bi 3.44

=====

No. 4
## MgRuRhPb (PBE)

Data for a relaxed structure of MgRuRhPb.

Summary:
Its space group is F-43m, No. 216. The calculation puts the formation energy at -0.35 eV per formula unit.

abc: 6.4444 6.4444 6.4444
angles: 90.00 90.00 90.00
Last column: nearest neighbours and their distance in Å.
Element x y z (fractional)
Mg: 0.0000 0.0000 0.0000  4 Rh 2.79, 4 Ru 2.79
Mg: 0.0000 0.5000 0.5000  4 Rh 2.79, 4 Ru 2.79
Mg: 0.5000 0.0000 0.5000  4 Rh 2.79, 4 Ru 2.79
Mg: 0.5000 0.5000 0.0000  4 Rh 2.79, 4 Ru 2.79
Ru: 0.2500 0.2500 0.7500  4 Pb 2.79, 4 Mg 2.79
Ru: 0.2500 0.7500 0.2500  4 Pb 2.79, 4 Mg 2.79
Ru: 0.7500 0.2500 0.2500  4 Pb 2.79, 4 Mg 2.79
Ru: 0.7500 0.7500 0.7500  4 Pb 2.79, 4 Mg 2.79
Rh: 0.2500 0.2500 0.2500  4 Pb 2.79, 4 Mg 2.79
Rh: 0.2500 0.7500 0.7500  4 Pb 2.79, 4 Mg 2.79
Rh: 0.7500 0.2500 0.7500  4 Pb 2.79, 4 Mg 2.79
Rh: 0.7500 0.7500 0.2500  4 Pb 2.79, 4 Mg 2.79
Pb: 0.0000 0.0000 0.5000  4 Ru 2.79, 4 Rh 2.79
Pb: 0.0000 0.5000 0.0000  4 Ru 2.79, 4 Rh 2.79
Pb: 0.5000 0.0000 0.0000  4 Ru 2.79, 4 Rh 2.79
Pb: 0.5000 0.5000 0.5000  4 Ru 2.79, 4 Rh 2.79

=====

No. 5
## AsOsSeBr2 (PBE)

Data for a relaxed structure of AsOsSeBr2.

Summary:
Its space group is P4/mmm, No. 123. As for the uncorrected formation energy: 0.78 eV/atom. The calculation puts the offset from the most stable computed form at 57 meV per atom.

abc: 5.0718 5.0718 4.7475
angles: 90.00 90.00 90.00
Last column: nearest neighbours and their distance in Å.
Element x y z (fractional)
As: 0.0000 0.0000 0.0000  8 Br 3.47, 4 Se 3.59
Os: 0.5000 0.5000 0.5000  2 Se 2.37, 4 Br 2.54
Se: 0.5000 0.5000 0.0000  2 Os 2.37
Br: 0.0000 0.5000 0.5000  2 Os 2.54
Br: 0.5000 0.0000 0.5000  2 Os 2.54

=====

No. 6
## AlZnFe2 (PBE)

Data for a relaxed structure of AlZnFe2.

Summary:
Its space group is I4/mmm, No. 139. The calculation puts the formation energy at -0.47 eV per formula unit.

abc: 3.5619 3.5619 16.0243
angles: 90.00 90.00 90.00
Last column: nearest neighbours and their distance in Å.
Element x y z (fractional)
Al: 0.0000 0.0000 0.1166  8 Fe 2.52-2.58, 4 Zn 2.78
Al: 0.0000 0.0000 0.8834  8 Fe 2.52-2.58, 4 Zn 2.78
Al: 0.5000 0.5000 0.3834  8 Fe 2.52-2.58, 4 Zn 2.78
Al: 0.5000 0.5000 0.6166  8 Fe 2.52-2.58, 4 Zn 2.78
Zn: 0.0000 0.5000 0.2500  4 Zn 2.52, 4 Fe 2.73, 4 Al 2.78
Zn: 0.0000 0.5000 0.7500  4 Zn 2.52, 4 Fe 2.73, 4 Al 2.78
Zn: 0.5000 0.0000 0.2500  4 Zn 2.52, 4 Fe 2.73, 4 Al 2.78
Zn: 0.5000 0.0000 0.7500  4 Zn 2.52, 4 Fe 2.73, 4 Al 2.78
Fe: 0.0000 0.0000 0.3792  4 Al 2.52, 4 Fe 2.63, 4 Zn 2.73
Fe: 0.0000 0.0000 0.6208  4 Al 2.52, 4 Fe 2.63, 4 Zn 2.73
Fe: 0.0000 0.5000 0.0000  8 Fe 2.52-2.63, 4 Al 2.58
Fe: 0.0000 0.5000 0.5000  8 Fe 2.52-2.63, 4 Al 2.58
Fe: 0.5000 0.0000 0.0000  8 Fe 2.52-2.63, 4 Al 2.58
Fe: 0.5000 0.0000 0.5000  8 Fe 2.52-2.63, 4 Al 2.58
Fe: 0.5000 0.5000 0.1208  4 Al 2.52, 4 Fe 2.63, 4 Zn 2.73
Fe: 0.5000 0.5000 0.8792  4 Al 2.52, 4 Fe 2.63, 4 Zn 2.73

=====

No. 7
## LiCa3U2N6 (PBE)

Data for a relaxed structure of LiCa3U2N6.

Summary:
Its space group is C2/m, No. 12. As for the uncorrected formation energy: -1.21 eV/atom.

abc: 7.4083 7.4083 7.0165
angles: 104.59 104.59 27.76
Last column: nearest neighbours and their distance in Å.
Element x y z (fractional)
Li: 0.0000 0.0000 0.0000  6 N 2.32-2.57
Ca: 0.0000 0.0000 0.5000  6 N 2.45-2.53
Ca: 0.3421 0.3421 0.1586  6 N 2.46-2.70
Ca: 0.6579 0.6579 0.8414  6 N 2.46-2.70
U: 0.3377 0.3377 0.6827  2 N 2.01-2.18
U: 0.6623 0.6623 0.3173  2 N 2.01-2.18
N: 0.1664 0.1664 0.1132  2 U 2.29, 1 Li 2.32, 1 Ca 2.46
N: 0.1814 0.1814 0.5688  1 U 2.18
N: 0.4812 0.4812 0.7278  1 U 2.01
N: 0.5188 0.5188 0.2722  1 U 2.01
N: 0.8186 0.8186 0.4312  1 U 2.18
N: 0.8336 0.8336 0.8868  2 U 2.29, 1 Li 2.32, 1 Ca 2.46

=====

No. 8
## LiBe2Cd (PBE)

Data for a relaxed structure of LiBe2Cd.

Summary:
Its space group is R-3m, No. 166. The calculation puts the formation energy at 2.06 eV per formula unit.

abc: 2.7151 2.7151 26.3977
angles: 90.00 90.00 120.00
Last column: nearest neighbours and their distance in Å.
Element x y z (fractional)
Li: 0.0000 0.0000 0.0000  6 Be 2.59, 6 Li 2.72
Li: 0.3333 0.6667 0.6667  6 Be 2.59, 6 Li 2.72
Li: 0.6667 0.3333 0.3333  6 Be 2.59, 6 Li 2.72
Be: 0.0000 0.0000 0.2551  3 Li 2.59, 6 Be 2.72, 3 Cd 2.81
Be: 0.0000 0.0000 0.7449  3 Li 2.59, 6 Be 2.72, 3 Cd 2.81
Be: 0.3333 0.6667 0.4116  3 Li 2.59, 6 Be 2.72, 3 Cd 2.81
Be: 0.3333 0.6667 0.9217  3 Li 2.59, 6 Be 2.72, 3 Cd 2.81
Be: 0.6667 0.3333 0.0783  3 Li 2.59, 6 Be 2.72, 3 Cd 2.81
Be: 0.6667 0.3333 0.5884  3 Li 2.59, 6 Be 2.72, 3 Cd 2.81
Cd: 0.0000 0.0000 0.5000  6 Cd 2.72, 6 Be 2.81
Cd: 0.3333 0.6667 0.1667  6 Cd 2.72, 6 Be 2.81
Cd: 0.6667 0.3333 0.8333  6 Cd 2.72, 6 Be 2.81

=====

No. 9
## Th6Ir4Au (PBE)

Data for a relaxed structure of Th6Ir4Au.

Summary:
Its space group is Cmcm, No. 63. The calculation puts the formation energy at -9.35 eV per formula unit.

abc: 7.1719 7.1719 21.0903
angles: 90.00 90.00 146.77
Last column: nearest neighbours and their distance in Å.
Element x y z (fractional)
Th: 0.0000 0.0000 0.0000  6 Ir 2.93-2.99
Th: 0.0000 0.0000 0.5000  6 Ir 2.93-2.99
Th: 0.1711 0.8289 0.7500  2 Ir 2.79, 2 Au 3.11
Th: 0.2687 0.7313 0.0833  5 Ir 2.87-3.00
Th: 0.2687 0.7313 0.4167  5 Ir 2.87-3.00
Th: 0.4609 0.5391 0.6624  3 Ir 2.82-2.87
Th: 0.4609 0.5391 0.8376  3 Ir 2.82-2.87
Th: 0.5391 0.4609 0.1624  3 Ir 2.82-2.87
Th: 0.5391 0.4609 0.3376  3 Ir 2.82-2.87
Th: 0.7313 0.2687 0.5833  5 Ir 2.87-3.00
Th: 0.7313 0.2687 0.9167  5 Ir 2.87-3.00
Th: 0.8289 0.1711 0.2500  2 Ir 2.79, 2 Au 3.11
Ir: 0.0963 0.9037 0.6272  6 Th 2.79-2.99
Ir: 0.0963 0.9037 0.8728  6 Th 2.79-2.99
Ir: 0.3643 0.6357 0.5444  6 Th 2.82-3.00
Ir: 0.3643 0.6357 0.9556  6 Th 2.82-3.00
Ir: 0.6357 0.3643 0.0444  6 Th 2.82-3.00
Ir: 0.6357 0.3643 0.4556  6 Th 2.82-3.00
Ir: 0.9037 0.0963 0.1272  6 Th 2.79-2.99
Ir: 0.9037 0.0963 0.3728  6 Th 2.79-2.99
Au: 0.1593 0.8407 0.2500  6 Th 3.11-3.22
Au: 0.8407 0.1593 0.7500  6 Th 3.11-3.22

=====

No. 10
## Th12Sb3C5 (PBE)

Data for a relaxed structure of Th12Sb3C5.

Summary:
Its space group is Ia-3d, No. 230. As for the uncorrected formation energy: -0.25 eV/atom.

abc: 14.2229 14.2229 14.2229
angles: 109.47 109.47 109.47
Last column: nearest neighbours and their distance in Å.
Element x y z (fractional)
Th: 0.0130 0.1979 0.1082  2 C 2.37-2.63
Th: 0.0130 0.3150 0.9048  2 C 2.37-2.63
Th: 0.0897 0.6979 0.6850  2 C 2.37-2.63
Th: 0.0897 0.8918 0.4048  2 C 2.37-2.63
Th: 0.0952 0.6082 0.4103  2 C 2.37-2.63
Th: 0.0952 0.9870 0.6850  2 C 2.37-2.63
Th: 0.1082 0.0130 0.1979  2 C 2.37-2.63
Th: 0.1082 0.5952 0.9103  2 C 2.37-2.63
Th: 0.1850 0.1979 0.5897  2 C 2.37-2.63
Th: 0.1850 0.4870 0.5952  2 C 2.37-2.63
Th: 0.1979 0.1082 0.0130  2 C 2.37-2.63
Th: 0.1979 0.5897 0.1850  2 C 2.37-2.63
Th: 0.3021 0.3150 0.9103  2 C 2.37-2.63
Th: 0.3021 0.4870 0.3918  2 C 2.37-2.63
Th: 0.3150 0.9048 0.0130  2 C 2.37-2.63
Th: 0.3150 0.9103 0.3021  2 C 2.37-2.63
Th: 0.3918 0.3021 0.4870  2 C 2.37-2.63
Th: 0.3918 0.5897 0.9048  2 C 2.37-2.63
Th: 0.4048 0.0897 0.8918  2 C 2.37-2.63
Th: 0.4048 0.8150 0.5130  2 C 2.37-2.63
Th: 0.4103 0.0952 0.6082  2 C 2.37-2.63
Th: 0.4103 0.8150 0.8021  2 C 2.37-2.63
Th: 0.4870 0.3918 0.3021  2 C 2.37-2.63
Th: 0.4870 0.5952 0.1850  2 C 2.37-2.63
Th: 0.5130 0.4048 0.8150  2 C 2.37-2.63
Th: 0.5130 0.6082 0.6979  2 C 2.37-2.63
Th: 0.5897 0.1850 0.1979  2 C 2.37-2.63
Th: 0.5897 0.9048 0.3918  2 C 2.37-2.63
Th: 0.5952 0.1850 0.4870  2 C 2.37-2.63
Th: 0.5952 0.9103 0.1082  2 C 2.37-2.63
Th: 0.6082 0.4103 0.0952  2 C 2.37-2.63
Th: 0.6082 0.6979 0.5130  2 C 2.37-2.63
Th: 0.6850 0.0897 0.6979  2 C 2.37-2.63
Th: 0.6850 0.0952 0.9870  2 C 2.37-2.63
Th: 0.6979 0.5130 0.6082  2 C 2.37-2.63
Th: 0.6979 0.6850 0.0897  2 C 2.37-2.63
Th: 0.8021 0.4103 0.8150  2 C 2.37-2.63
Th: 0.8021 0.8918 0.9870  2 C 2.37-2.63
Th: 0.8150 0.5130 0.4048  2 C 2.37-2.63
Th: 0.8150 0.8021 0.4103  2 C 2.37-2.63
Th: 0.8918 0.4048 0.0897  2 C 2.37-2.63
Th: 0.8918 0.9870 0.8021  2 C 2.37-2.63
Th: 0.9048 0.0130 0.3150  2 C 2.37-2.63
Th: 0.9048 0.3918 0.5897  2 C 2.37-2.63
Th: 0.9103 0.1082 0.5952  2 C 2.37-2.63
Th: 0.9103 0.3021 0.3150  2 C 2.37-2.63
Th: 0.9870 0.6850 0.0952  2 C 2.37-2.63
Th: 0.9870 0.8021 0.8918  2 C 2.37-2.63
Sb: 0.1250 0.2500 0.3750  8 Th 3.29-3.34
Sb: 0.1250 0.3750 0.7500  8 Th 3.29-3.34
Sb: 0.2500 0.3750 0.1250  8 Th 3.29-3.34
Sb: 0.2500 0.8750 0.6250  8 Th 3.29-3.34
Sb: 0.3750 0.1250 0.2500  8 Th 3.29-3.34
Sb: 0.3750 0.7500 0.1250  8 Th 3.29-3.34
Sb: 0.6250 0.2500 0.8750  8 Th 3.29-3.34
Sb: 0.6250 0.8750 0.7500  8 Th 3.29-3.34
Sb: 0.7500 0.1250 0.3750  8 Th 3.29-3.34
Sb: 0.7500 0.6250 0.8750  8 Th 3.29-3.34
Sb: 0.8750 0.6250 0.2500  8 Th 3.29-3.34
Sb: 0.8750 0.7500 0.6250  8 Th 3.29-3.34
C: 0.0000 0.0000 0.0000  6 Th 2.63
C: 0.0000 0.0000 0.5000  6 Th 2.63
C: 0.0000 0.5000 0.0000  6 Th 2.63
C: 0.0000 0.5000 0.5000  6 Th 2.63
C: 0.1250 0.7500 0.8750  4 Th 2.37
C: 0.1250 0.8750 0.2500  4 Th 2.37
C: 0.2500 0.1250 0.8750  4 Th 2.37
C: 0.2500 0.6250 0.3750  4 Th 2.37
C: 0.3750 0.2500 0.6250  4 Th 2.37
C: 0.3750 0.6250 0.7500  4 Th 2.37
C: 0.5000 0.0000 0.0000  6 Th 2.63
C: 0.5000 0.0000 0.5000  6 Th 2.63
C: 0.5000 0.5000 0.0000  6 Th 2.63
C: 0.5000 0.5000 0.5000  6 Th 2.63
C: 0.6250 0.3750 0.2500  4 Th 2.37
C: 0.6250 0.7500 0.3750  4 Th 2.37
C: 0.7500 0.3750 0.6250  4 Th 2.37
C: 0.7500 0.8750 0.1250  4 Th 2.37
C: 0.8750 0.1250 0.7500  4 Th 2.37
C: 0.8750 0.2500 0.1250  4 Th 2.37

=====

No. 11
## ZrReSbTe2 (PBE)

Data for a relaxed structure of ZrReSbTe2.

Summary:
Its space group is P4/mmm, No. 123. As for the uncorrected formation energy: 0.87 eV/atom. The calculation puts the offset from the most stable computed form at 0 meV per atom.

abc: 5.2680 5.2680 5.0771
angles: 90.00 90.00 90.00
Last column: nearest neighbours and their distance in Å.
Element x y z (fractional)
Zr: 0.0000 0.0000 0.0000  8 Te 3.66, 4 Sb 3.73
Re: 0.5000 0.5000 0.5000  2 Sb 2.54, 4 Te 2.63
Sb: 0.5000 0.5000 0.0000  2 Re 2.54
Te: 0.0000 0.5000 0.5000  2 Re 2.63
Te: 0.5000 0.0000 0.5000  2 Re 2.63

=====

No. 12
## Lu4Te2N (PBE)

Data for a relaxed structure of Lu4Te2N.

Summary:
Its space group is I4/mmm, No. 139. As for the uncorrected formation energy: -0.94 eV/atom.

abc: 4.5052 4.5052 15.6037
angles: 90.00 90.00 90.00
Last column: nearest neighbours and their distance in Å.
Element x y z (fractional)
Lu: 0.0000 0.0000 0.1626  1 N 2.54
Lu: 0.0000 0.0000 0.8374  1 N 2.54
Lu: 0.0000 0.5000 0.0000  2 N 2.25
Lu: 0.0000 0.5000 0.5000  2 N 2.25
Lu: 0.5000 0.0000 0.0000  2 N 2.25
Lu: 0.5000 0.0000 0.5000  2 N 2.25
Lu: 0.5000 0.5000 0.3374  1 N 2.54
Lu: 0.5000 0.5000 0.6626  1 N 2.54
Te: 0.0000 0.0000 0.3573  9 Lu 3.04-3.20
Te: 0.0000 0.0000 0.6427  9 Lu 3.04-3.20
Te: 0.5000 0.5000 0.1427  9 Lu 3.04-3.20
Te: 0.5000 0.5000 0.8573  9 Lu 3.04-3.20
N: 0.0000 0.0000 0.0000  4 Lu 2.25
N: 0.5000 0.5000 0.5000  4 Lu 2.25